# CdAgHg2 PBE optimized geometry
data_CdAgHg2
_chemical_formula_sum 'Cd4 Ag4 Hg8'
_cell_length_a 7.078
_cell_length_b 7.078
_cell_length_c 7.078
_cell_angle_alpha 90.00
_cell_angle_beta 90.00
_cell_angle_gamma 90.00
_symmetry_space_group_name_H-M 'F -4 3 m'
_symmetry_Int_Tables_number 216
_symmetry_space_group_name_Hall 'F -4 2 3'
loop_
_atom_site_label
_atom_site_fract_x
_atom_site_fract_y
_atom_site_fract_z
Cd1 0.000 0.000 0.000
Ag1 0.250 0.250 0.750
Hg1 0.000 0.000 0.500
Hg2 0.250 0.250 0.250
# Calculated volume (Å³/atom): 22.158
# Total energy (eV for the cell shown): -15.83
# Calculated formation energy (meV/atom): 103


# Sm6InIr2 PBE optimized geometry
data_Sm6InIr2
_chemical_formula_sum 'Sm24 In4 Ir8'
_cell_length_a 9.589
_cell_length_b 9.846
_cell_length_c 10.659
_cell_angle_alpha 90.00
_cell_angle_beta 90.00
_cell_angle_gamma 90.00
_symmetry_space_group_name_H-M 'I m m m'
_symmetry_Int_Tables_number 71
_symmetry_space_group_name_Hall '-I 2 2'
loop_
_atom_site_label
_atom_site_fract_x
_atom_site_fract_y
_atom_site_fract_z
Sm1 0.000 0.203 0.238
Sm2 0.190 0.500 0.170
Sm3 0.212 0.318 0.500
In1 0.000 0.000 0.000
In2 0.000 0.000 0.500
Ir1 0.000 0.331 0.000
Ir2 0.000 0.500 0.370
# Calculated volume (Å³/atom): 27.955
# Total energy (eV for the cell shown): -214.31
# Calculated formation energy (meV/atom): -534


# NaLiMg14 PBE optimized geometry
data_NaLiMg14
_chemical_formula_sum 'Na1 Li1 Mg14'
_cell_length_a 6.3763
_cell_length_b 6.3763
_cell_length_c 10.5101
_cell_angle_alpha 90.00
_cell_angle_beta 90.00
_cell_angle_gamma 120.00
_symmetry_space_group_name_H-M 'P -6 m 2'
_symmetry_Int_Tables_number 187
_symmetry_space_group_name_Hall 'P -6 2'
loop_
_atom_site_label
_atom_site_fract_x
_atom_site_fract_y
_atom_site_fract_z
Na1 0.0000 0.0000 0.0000
Li1 0.0000 0.0000 0.5000
Mg1 0.0033 0.5017 0.0000
Mg2 0.1668 0.3335 0.2560
Mg3 0.5006 0.0012 0.5000
Mg4 0.6667 0.3333 0.2481
# Calculated volume (Å³/atom): 23.129
# Total energy (eV for the cell shown): -25.44
# Calculated formation energy (meV/atom): 7


# KSb2As PBE optimized geometry
data_KSb2As
_chemical_formula_sum 'K2 Sb4 As2'
_cell_length_a 6.639
_cell_length_b 11.548
_cell_length_c 3.229
_cell_angle_alpha 90.00
_cell_angle_beta 118.21
_cell_angle_gamma 90.00
_symmetry_space_group_name_H-M 'C 1 2/m 1'
_symmetry_Int_Tables_number 12
_symmetry_space_group_name_Hall '-C 2y'
loop_
_atom_site_label
_atom_site_fract_x
_atom_site_fract_y
_atom_site_fract_z
K1 0.000 0.000 0.000
Sb1 0.250 0.250 0.000
As1 0.000 0.500 0.000
# Calculated volume (Å³/atom): 27.269
# Total energy (eV for the cell shown): -27.19
# Uncorrected formation energy (meV/atom): 99


# Pm2TeOs PBE optimized geometry
data_Pm2TeOs
_chemical_formula_sum 'Pm2 Te1 Os1'
_cell_length_a 3.630
_cell_length_b 3.630
_cell_length_c 7.702
_cell_angle_alpha 90.00
_cell_angle_beta 90.00
_cell_angle_gamma 90.00
_symmetry_space_group_name_H-M 'P 4/m m m'
_symmetry_Int_Tables_number 123
_symmetry_space_group_name_Hall '-P 4 2'
loop_
_atom_site_label
_atom_site_fract_x
_atom_site_fract_y
_atom_site_fract_z
Pm1 0.000 0.000 0.221
Te1 0.500 0.500 0.500
Os1 0.500 0.500 0.000
# Calculated volume (Å³/atom): 25.377
# Total energy (eV for the cell shown): -26.04
# Uncorrected formation energy (meV/atom): -543


# Ta2InBiOs PBE optimized geometry
data_Ta2InBiOs
_chemical_formula_sum 'Ta2 In1 Bi1 Os1'
_cell_length_a 5.048
_cell_length_b 5.048
_cell_length_c 4.873
_cell_angle_alpha 90.00
_cell_angle_beta 90.00
_cell_angle_gamma 90.00
_symmetry_space_group_name_H-M 'P 4/m m m'
_symmetry_Int_Tables_number 123
_symmetry_space_group_name_Hall '-P 4 2'
loop_
_atom_site_label
_atom_site_fract_x
_atom_site_fract_y
_atom_site_fract_z
Ta1 0.000 0.500 0.000
In1 0.000 0.000 0.000
Bi1 0.500 0.500 0.500
Os1 0.000 0.000 0.500
# Calculated volume (Å³/atom): 24.841
# Total energy (eV for the cell shown): -31.01
# Calculated formation energy (meV/atom): 2108